VASP calculation (PBE) on HfCoBOs after structural relaxation.

It has space group F-43m (No. 216), with a = 6.044 Å, b = 6.044 Å, c = 6.044 Å, α = 90.00°, β = 90.00° and γ = 90.00°. The asymmetric unit holds Hf at (0.000, 0.000, 0.000), Co at (0.000, 0.000, 0.500), B at (0.250, 0.250, 0.250) and Os at (0.250, 0.250, 0.750).

As for the offset from the most stable computed form: 356 meV/atom. For the calculated volume, the calculation gives 13.80 Å³ per atom.